No. 1
Compound: SmHoAg2Se4
Source: Alexandria via LeMat-Bulk
Functional: GGA-PBE
Structure: optimized geometry

a b c (Å): 4.2138 6.8764 7.2937
angles (deg): 69.57 90.00 90.00
Element x y z (fractional)
Se 0.5000 0.7467 0.2574
Sm 0.5000 0.5000 0.0000
Se 0.0000 0.7488 0.7461
Se 0.5000 0.2533 0.7426
Ag 0.5000 0.0000 0.5000
Ho 0.0000 0.5000 0.5000
Se 0.0000 0.2512 0.2539
Ag 0.0000 0.0000 0.0000

The calculation puts the total energy at -4.78 eV per atom. Its magnetic moment is 0.0000 μB per atom. The space group is P2/m.

---

No. 2
Compound: ZnPbCl2
Source: Alexandria via LeMat-Bulk
Functional: GGA-PBE
Structure: optimized geometry

a b c (Å): 9.6222 9.6222 9.6222
angles (deg): 21.58 21.58 21.58
Element x y z (fractional)
Cl 0.9160 0.9160 0.9160
Zn 0.0000 0.0000 0.0000
Cl 0.0840 0.0840 0.0840
Pb 0.5000 0.5000 0.5000

The calculation puts the total energy at -2.62 eV per atom. For the energy above the most stable polymorph in this dataset, the calculation gives 0.88 eV/f.u. Its magnetic moment is 0.0000 μB per atom. The space group is R-3m.

---

No. 3
Compound: KNd2Y3Te6
Source: Alexandria via LeMat-Bulk
Functional: GGA-PBE
Structure: optimized geometry

a b c (Å): 4.4133 9.1247 10.0783
angles (deg): 104.13 102.65 90.00
Element x y z (fractional)
Y 0.1640 0.8244 0.3279
Te 0.6737 0.0800 0.3474
Te 0.3380 0.4092 0.6759
Nd 0.1723 0.3481 0.3445
Te 0.9996 0.7332 0.9991
Y 0.5000 0.5000 0.0000
Te 0.0004 0.2668 0.0009
K 0.5000 0.0000 0.0000
Nd 0.8277 0.6519 0.6555
Te 0.6620 0.5908 0.3241
Te 0.3263 0.9200 0.6526
Y 0.8360 0.1756 0.6721

The calculation puts the total energy at -5.44 eV per atom. Its magnetic moment is 0.0000 μB per atom. The space group is C2/m.

---

No. 4
Compound: TeAsCSe2
Source: Alexandria via LeMat-Bulk
Functional: GGA-PBE
Structure: optimized geometry

a b c (Å): 4.4434 4.4434 4.6890
angles (deg): 90.00 90.00 90.00
Element x y z (fractional)
C 0.0000 0.0000 0.0000
Se 0.0000 0.5000 0.0000
Se 0.5000 0.0000 0.0000
Te 0.5000 0.5000 0.5000
As 0.0000 0.0000 0.5000

The calculation puts the total energy at -3.74 eV per atom. For the energy above the most stable polymorph in this dataset, the calculation gives 0.00 eV/f.u. Its magnetic moment is 0.0000 μB per atom. The space group is P4/mmm.

---

No. 5
Compound: Pr5Er2Tm2
Source: Alexandria via LeMat-Bulk
Functional: GGA-PBE
Structure: optimized geometry

a b c (Å): 12.9145 6.2362 10.4425
angles (deg): 107.37 128.20 90.00
Element x y z (fractional)
Tm 0.8139 0.3122 0.7287
Er 0.8065 0.7719 0.5000
Pr 0.2529 0.7453 0.9015
Tm 0.4147 0.8122 0.7287
Pr 0.9244 0.2944 0.5000
Pr 0.4604 0.5945 0.2879
Er 0.5000 0.3839 0.0000
Pr 0.1486 0.2453 0.9015
Pr 0.8514 0.3438 0.0985
Pr 0.0756 0.7944 0.5000
Pr 0.6725 0.8066 0.7121
Tm 0.5853 0.0835 0.2713
Tm 0.1860 0.5835 0.2713
Er 0.1935 0.2719 0.5000
Pr 0.7471 0.8438 0.0985
Pr 0.5396 0.3066 0.7121
Pr 0.3275 0.0945 0.2879
Er 0.0000 0.8839 0.0000

The calculation puts the total energy at -4.49 eV per atom. For the energy above the most stable polymorph in this dataset, the calculation gives 1.40 eV/f.u. Its magnetic moment is 0.0001 μB per atom. The space group is Ima2.

---

No. 6
Compound: Tc2SnSbSe
Source: Alexandria via LeMat-Bulk
Functional: GGA-PBE
Structure: optimized geometry

a b c (Å): 4.9968 5.7410 4.9968
angles (deg): 90.00 90.00 90.00
Each line ends with the local moment (μB).
Element x y z (fractional)
Tc 0.0000 0.0000 0.5000  2.08
Sb 0.0000 0.0000 0.0000  -0.07
Tc 0.5000 0.0000 0.0000  2.02
Se 0.5000 0.5000 0.5000  0.08
Sn 0.0000 0.5000 0.0000  -0.03

The calculation puts the total energy at -4.94 eV per atom. Its magnetic moment is 0.9418 μB per atom. The space group is P4/mmm.

---

No. 7
Compound: La2PrNd6Mg
Source: Alexandria via LeMat-Bulk
Functional: GGA-PBE
Structure: optimized geometry

a b c (Å): 9.6717 8.7350 8.7350
angles (deg): 105.59 96.49 96.49
Element x y z (fractional)
La 0.0907 0.2672 0.2064
La 0.4093 0.7936 0.7328
Nd 0.4247 0.2697 0.9210
Nd 0.5753 0.7303 0.0790
Nd 0.9050 0.3300 0.5702
Nd 0.0753 0.0790 0.7303
Nd 0.4050 0.5702 0.3300
Nd 0.6726 0.9677 0.5341
Nd 0.1726 0.5341 0.9677
Nd 0.5950 0.4298 0.6700
Nd 0.0950 0.6700 0.4298
La 0.5907 0.2064 0.2672
Pr 0.7500 0.0676 0.9324
Nd 0.8274 0.4659 0.0323
La 0.9093 0.7328 0.7936
Mg 0.7500 0.6009 0.3991
Nd 0.3274 0.0323 0.4659
Nd 0.9247 0.9210 0.2697
Pr 0.2500 0.9324 0.0676
Mg 0.2500 0.3991 0.6009

The calculation puts the total energy at -4.39 eV per atom. Its magnetic moment is 0.0000 μB per atom. The space group is C2/c.

---

No. 8
Compound: CaBe2Ir
Source: Alexandria via LeMat-Bulk
Functional: GGA-PBE
Structure: optimized geometry

a b c (Å): 5.0938 5.0938 5.0938
angles (deg): 146.12 126.28 65.04
Element x y z (fractional)
Ir 0.2068 0.7068 0.5000
Be 0.7914 0.2914 0.5000
Ca 0.4981 0.4981 0.0000
Be 0.0037 0.0037 0.0000

The calculation puts the total energy at -4.43 eV per atom. For the energy above the most stable polymorph in this dataset, the calculation gives 2.07 eV/f.u. Its magnetic moment is 0.0000 μB per atom. The space group is Imm2.

---

No. 9
Compound: CaPr3Ho3Se8
Source: Alexandria via LeMat-Bulk
Functional: GGA-PBE
Structure: optimized geometry

a b c (Å): 8.2537 8.2541 8.3585
angles (deg): 119.58 90.00 120.00
Element x y z (fractional)
Se 0.2509 0.9882 0.7395
Pr 0.5000 0.5000 0.0000
Se 0.2511 0.5022 0.7392
Se 0.7373 0.9882 0.7395
Se 0.7491 0.0118 0.2605
Ho 0.5000 0.0000 0.5000
Se 0.2558 0.5116 0.2676
Pr 0.0000 0.0000 0.0000
Ho 0.0000 0.5000 0.5000
Se 0.2627 0.0118 0.2605
Ca 0.0000 0.0000 0.5000
Se 0.7489 0.4978 0.2608
Se 0.7442 0.4884 0.7324
Ho 0.5000 0.5000 0.5000
Pr 0.0000 0.5000 0.0000

The calculation puts the total energy at -5.74 eV per atom. Its magnetic moment is 0.0000 μB per atom. The space group is R-3m.

---

No. 10
Compound: ZrTa2Cl
Source: Alexandria via LeMat-Bulk
Functional: GGA-PBE
Structure: optimized geometry

a b c (Å): 5.1803 3.8486 3.8486
angles (deg): 90.00 90.00 90.00
Element x y z (fractional)
Zr 0.5000 0.5000 0.0000
Ta 0.0000 0.5000 0.5000
Ta 0.0000 0.0000 0.0000
Cl 0.5000 0.0000 0.5000

The calculation puts the total energy at -8.12 eV per atom. For the energy above the most stable polymorph in this dataset, the calculation gives 2.42 eV/f.u. Its magnetic moment is 0.0000 μB per atom. The space group is P4/mmm.

---

No. 11
Compound: BeGeP2O
Source: Alexandria via LeMat-Bulk
Functional: GGA-PBE
Structure: optimized geometry

a b c (Å): 4.8425 4.8425 3.4952
angles (deg): 90.00 90.00 90.00
Element x y z (fractional)
P 0.0000 0.5000 0.0000
P 0.5000 0.0000 0.0000
Ge 0.0000 0.0000 0.0000
O 0.0000 0.0000 0.5000
Be 0.5000 0.5000 0.5000

The calculation puts the total energy at -4.20 eV per atom. For the energy above the most stable polymorph in this dataset, the calculation gives 3.44 eV/f.u. Its magnetic moment is 0.0000 μB per atom. The space group is P4/mmm.

---

No. 12
Compound: AlNi2Pd
Source: Alexandria via LeMat-Bulk
Functional: GGA-PBE
Structure: optimized geometry

a b c (Å): 3.5322 3.5322 9.2132
angles (deg): 78.95 78.95 90.00
Each line ends with the local moment (μB).
Element x y z (fractional)
Ni 0.6128 0.1250 0.2500  0.16
Al 0.2500 0.7500 0.5000  0.00
Ni 0.3750 0.3872 0.7500  0.15
Ni 0.8750 0.8628 0.7500  0.14
Al 0.5000 0.5000 0.0000  0.00
Ni 0.1372 0.6250 0.2500  0.15
Pd 0.0000 0.0000 0.0000  0.02
Pd 0.7500 0.2500 0.5000  0.02

The calculation puts the total energy at -5.19 eV per atom. Its magnetic moment is 0.0803 μB per atom. The space group is I-42d.

---

No. 13
Compound: HgPd2Pb8
Source: Alexandria via LeMat-Bulk
Functional: GGA-PBE
Structure: optimized geometry

a b c (Å): 5.4807 7.8366 7.8366
angles (deg): 109.40 98.19 98.19
Element x y z (fractional)
Hg 0.5000 0.0000 0.0000
Pb 0.6897 0.3792 0.3792
Pd 0.0000 0.6828 0.3172
Pb 0.1050 0.3349 0.0761
Pb 0.8950 0.9239 0.6651
Pb 0.8950 0.6651 0.9239
Pb 0.3103 0.6208 0.6208
Pd 0.0000 0.3172 0.6828
Pb 0.5000 0.2447 0.7553
Pb 0.5000 0.7553 0.2447
Pb 0.1050 0.0761 0.3349

The calculation puts the total energy at -3.74 eV per atom. Its magnetic moment is 0.0000 μB per atom. The space group is C2/m.